VASP calculation (PBE) on crystalline ZrTiOsRu at its relaxed geometry.

Results
Formation energy: -606 meV per atom
Density: 11.01 g cm⁻³

abc: 4.5116 4.5116 4.5116
angles: 60.00 60.00 60.00
Last column: nearest neighbours and their distance in Å.
Fractional coordinates of all 4 atoms:
Ru 0.5000 0.5000 0.5000  4 Zr 2.76, 4 Ti 2.76
Os 0.0000 0.0000 0.0000  4 Ti 2.76, 4 Zr 2.76
Zr 0.7500 0.7500 0.7500  4 Ru 2.76, 4 Os 2.76
Ti 0.2500 0.2500 0.2500  4 Ru 2.76, 4 Os 2.76



VASP calculation (PBE) on crystalline TlOs2Ru at its relaxed geometry.

Results
Formation energy: 995 meV per atom
Density: 16.73 g cm⁻³
Energy above the most stable polymorph in this dataset: 1.838 eV/f.u.

abc: 2.8040 2.8040 10.0051
angles: 90.00 90.00 120.09
Last column: nearest neighbours and their distance in Å.
Fractional coordinates of all 4 atoms:
Os 0.0000 0.0000 0.0292  2 Ru 2.62, 6 Os 2.80
Os 0.0000 0.0000 0.4708  2 Ru 2.62, 6 Os 2.80
Ru 0.5000 0.5000 0.2500  4 Os 2.62, 6 Ru 2.80
Tl 0.5000 0.5000 0.7500  6 Tl 2.80, 4 Os 3.12